Compound: LiSc2In4
Source: the Alexandria database
Functional: PBE-GGA
Structure: relaxed

Its energy above the lowest structure with this stoichiometry is 0.000 eV/atom.

It has space group I4/mmm (No. 139), with a = 6.935 Å, b = 6.935 Å, c = 6.968 Å, α = 90.00°, β = 90.00° and γ = 90.00°. Symmetry generates all atoms from Li at (0.000, 0.000, 0.000), Sc at (0.000, 0.500, 0.000) and In at (0.250, 0.250, 0.250).